[1]
Here is an optimized crystal structure of Tb3Pr3Sc2 from Alexandria. Energies are from PBE-GGA.

Calculated values
E above lowest polymorph (meV/atom): 0.0
Energy of formation (meV per atom): 43

abc: 5.0567 5.0187 9.8981
angles: 90.00 90.00 90.00
Last column: nearest neighbours and their distance in Å.
Element x y z (fractional)
1 Pr 0.0000 0.5000 0.0000  4 Sc 3.51, 8 Tb 3.52-3.56
2 Pr 0.5000 0.0000 0.5000  4 Tb 3.54, 4 Sc 3.55, 4 Pr 3.56
3 Pr 0.0000 0.5000 0.5000  4 Sc 3.54, 4 Tb 3.56, 4 Pr 3.56
4 Sc 0.0000 0.0000 0.2475  6 Pr 3.51-3.55, 6 Tb 3.52-3.56
5 Sc 0.0000 0.0000 0.7525  6 Pr 3.51-3.55, 6 Tb 3.52-3.56
6 Tb 0.5000 0.5000 0.7525  2 Tb 3.51, 6 Pr 3.52-3.56, 4 Sc 3.56
7 Tb 0.5000 0.5000 0.2475  2 Tb 3.51, 6 Pr 3.52-3.56, 4 Sc 3.56
8 Tb 0.5000 0.0000 0.0000  4 Tb 3.51, 4 Sc 3.52, 4 Pr 3.56

[2]
Here is an optimized crystal structure of Tb4PrSc7 from Alexandria. Energies are from PBE-GGA.

Calculated values
Energy of formation (meV per atom): 260

abc: 5.5903 11.0947 6.3889
angles: 84.37 64.06 75.41
Last column: nearest neighbours and their distance in Å.
Element x y z (fractional)
1 Tb 0.3690 0.7759 0.4860  7 Sc 3.21-3.44, 2 Tb 3.51
2 Tb 0.6310 0.2241 0.5140  7 Sc 3.21-3.44, 2 Tb 3.51
3 Tb 0.2294 0.3328 0.2084  5 Sc 3.12-3.47
4 Tb 0.7706 0.6672 0.7916  5 Sc 3.12-3.47
5 Sc 0.9314 0.3246 0.8126  4 Sc 3.07-3.37
6 Sc 0.3686 0.4972 0.7657  4 Sc 3.05-3.37, 5 Tb 3.12-3.42
7 Sc 0.0686 0.6754 0.1874  4 Sc 3.07-3.37
8 Sc 0.5000 0.0000 0.0000  2 Pr 2.80, 2 Sc 2.98
9 Sc 0.7891 0.9221 0.4997  4 Sc 2.98-3.26, 1 Pr 3.00, 4 Tb 3.21-3.24
10 Sc 0.6314 0.5028 0.2343  4 Sc 3.05-3.37, 5 Tb 3.12-3.42
11 Sc 0.2109 0.0779 0.5003  4 Sc 2.98-3.26, 1 Pr 3.00, 4 Tb 3.21-3.24
12 Pr 0.0000 0.0000 0.0000  4 Sc 2.80-3.00

[3]
Here is an optimized crystal structure of TbPrSc from Alexandria. Energies are from PBE-GGA.

Calculated values
E above lowest polymorph (meV/atom): 29.7
Energy of formation (meV per atom): 87

abc: 3.4407 5.5582 5.5582
angles: 120.00 90.00 90.00
Last column: nearest neighbours and their distance in Å.
Element x y z (fractional)
1 Sc 0.1668 0.3333 0.6667  3 Tb 3.21, 2 Sc 3.44
2 Pr 0.6667 0.6667 0.3333  2 Pr 3.44, 6 Tb 3.64, 6 Sc 3.64
3 Tb 0.1665 0.0000 0.0000  3 Sc 3.21, 2 Tb 3.44

[4]
Here is an optimized crystal structure of Tb2PrScTe6 from Alexandria. Energies are from PBE-GGA.

Calculated values
Uncorrected formation energy (eV per atom): -1.31

abc: 7.6969 7.6970 8.3023
angles: 62.39 62.39 60.01
Last column: nearest neighbours and their distance in Å.
Element x y z (fractional)
1 Tb 0.5118 0.5118 0.4645  6 Te 3.10-3.11
2 Tb 0.0080 0.0079 0.9761  6 Te 3.06-3.13
3 Te 0.1155 0.4058 0.7598  1 Sc 2.97, 2 Tb 3.06-3.11, 1 Pr 3.15
4 Te 0.9330 0.5870 0.2449  1 Sc 2.96, 2 Tb 3.10-3.13, 1 Pr 3.23
5 Te 0.5870 0.2350 0.2449  1 Sc 2.96, 2 Tb 3.10-3.13, 1 Pr 3.23
6 Te 0.4059 0.7189 0.7598  1 Sc 2.97, 2 Tb 3.06-3.11, 1 Pr 3.15
7 Te 0.7188 0.1155 0.7598  1 Sc 2.97, 2 Tb 3.06-3.11, 1 Pr 3.15
8 Te 0.2350 0.9331 0.2450  1 Sc 2.96, 2 Tb 3.10-3.13, 1 Pr 3.23
9 Pr 0.8211 0.8210 0.5369  6 Te 3.15-3.23
10 Sc 0.3255 0.3255 0.0234  6 Te 2.96-2.97

[5]
Here is an optimized crystal structure of Tb3Pr2ScTe6 from Alexandria. Energies are from PBE-GGA.

Calculated values
Uncorrected formation energy (eV per atom): -1.31

abc: 4.3656 8.8377 9.8319
angles: 102.40 102.83 90.00
Last column: nearest neighbours and their distance in Å.
Element x y z (fractional)
1 Te 0.9946 0.2373 0.9892  2 Sc 3.04, 3 Tb 3.17-3.21, 1 Pr 3.28
2 Te 0.3383 0.4099 0.6766  3 Tb 3.03-3.06, 3 Pr 3.15-3.17
3 Te 0.3425 0.9306 0.6849  1 Sc 2.95, 3 Tb 3.07-3.10, 2 Pr 3.17
4 Te 0.6575 0.0694 0.3151  1 Sc 2.95, 3 Tb 3.07-3.10, 2 Pr 3.17
5 Te 0.0054 0.7627 0.0108  2 Sc 3.04, 3 Tb 3.17-3.21, 1 Pr 3.28
6 Te 0.6617 0.5901 0.3234  3 Tb 3.03-3.06, 3 Pr 3.15-3.17
7 Pr 0.1699 0.3347 0.3398  6 Te 3.15-3.28
8 Pr 0.8301 0.6653 0.6602  6 Te 3.15-3.28
9 Sc 0.5000 0.0000 0.0000  6 Te 2.95-3.04
10 Tb 0.5000 0.5000 0.0000  6 Te 3.03-3.17
11 Tb 0.8230 0.1621 0.6461  6 Te 3.06-3.21
12 Tb 0.1770 0.8379 0.3539  6 Te 3.06-3.21

[6]
Here is an optimized crystal structure of Tb3PrSc2Te6 from Alexandria. Energies are from PBE-GGA.

Calculated values
Uncorrected formation energy (eV per atom): -1.25

abc: 4.3148 8.7141 9.6718
angles: 102.14 102.89 90.00
Last column: nearest neighbours and their distance in Å.
Element x y z (fractional)
1 Te 0.6716 0.5774 0.3432  3 Sc 3.03-3.04, 3 Tb 3.16
2 Te 0.0076 0.2623 0.0152  1 Sc 2.87, 3 Tb 3.02-3.03, 2 Pr 3.12
3 Te 0.3257 0.9012 0.6514  2 Sc 2.99, 3 Tb 3.11-3.13, 1 Pr 3.21
4 Te 0.3284 0.4226 0.6568  3 Sc 3.03-3.04, 3 Tb 3.16
5 Te 0.9924 0.7377 0.9848  1 Sc 2.87, 3 Tb 3.02-3.03, 2 Pr 3.12
6 Te 0.6743 0.0988 0.3486  2 Sc 2.99, 3 Tb 3.11-3.13, 1 Pr 3.21
7 Tb 0.5000 0.5000 0.0000  6 Te 3.02-3.16
8 Tb 0.8432 0.1672 0.6864  6 Te 3.03-3.16
9 Tb 0.1568 0.8328 0.3136  6 Te 3.03-3.16
10 Sc 0.1636 0.3308 0.3272  6 Te 2.87-3.04
11 Sc 0.8364 0.6692 0.6728  6 Te 2.87-3.04
12 Pr 0.5000 0.0000 0.0000  6 Te 3.12-3.21

[7]
Here is an optimized crystal structure of TbPr2ScTe4 from Alexandria. Energies are from PBE-GGA.

Calculated values
Uncorrected formation energy (eV per atom): -1.32

abc: 4.3359 7.5590 7.7859
angles: 108.67 90.00 90.00
Last column: nearest neighbours and their distance in Å.
Element x y z (fractional)
1 Sc 0.0000 0.0000 0.0000  6 Te 2.99
2 Te 0.0000 0.2485 0.7684  1 Sc 2.99, 2 Tb 3.06, 3 Pr 3.18-3.24
3 Te 0.5000 0.2344 0.2263  2 Sc 2.99, 1 Tb 3.07, 3 Pr 3.18-3.25
4 Te 0.5000 0.7656 0.7737  2 Sc 2.99, 1 Tb 3.07, 3 Pr 3.18-3.25
5 Te 0.0000 0.7515 0.2316  1 Sc 2.99, 2 Tb 3.06, 3 Pr 3.18-3.24
6 Pr 0.0000 0.5000 0.5000  6 Te 3.24-3.25
7 Pr 0.5000 0.0000 0.5000  6 Te 3.18
8 Tb 0.5000 0.5000 0.0000  6 Te 3.06-3.07

[8]
Here is an optimized crystal structure of Tb2Pr3ScTe6 from Alexandria. Energies are from PBE-GGA.

Calculated values
Uncorrected formation energy (eV per atom): -1.34

abc: 4.3717 8.9431 9.9290
angles: 104.24 102.72 90.00
Last column: nearest neighbours and their distance in Å.
Element x y z (fractional)
1 Te 0.6573 0.0874 0.3147  1 Sc 2.95, 2 Tb 3.07, 3 Pr 3.19-3.21
2 Te 0.3427 0.9126 0.6853  1 Sc 2.95, 2 Tb 3.07, 3 Pr 3.19-3.21
3 Te 0.9992 0.7687 0.9985  2 Sc 3.01, 1 Tb 3.12, 3 Pr 3.24-3.25
4 Te 0.3307 0.4235 0.6615  3 Tb 3.07, 3 Pr 3.18-3.19
5 Te 0.6693 0.5765 0.3385  3 Tb 3.07, 3 Pr 3.18-3.19
6 Te 0.0008 0.2313 0.0015  2 Sc 3.01, 1 Tb 3.12, 3 Pr 3.24-3.25
7 Pr 0.8285 0.1630 0.6570  6 Te 3.19-3.24
8 Pr 0.5000 0.5000 0.0000  6 Te 3.18-3.25
9 Pr 0.1715 0.8370 0.3430  6 Te 3.19-3.24
10 Tb 0.1669 0.3336 0.3338  6 Te 3.07-3.12
11 Tb 0.8331 0.6664 0.6662  6 Te 3.07-3.12
12 Sc 0.5000 0.0000 0.0000  6 Te 2.95-3.01

[9]
Here is an optimized crystal structure of TbPrScTe3 from Alexandria. Energies are from PBE-GGA.

Calculated values
Uncorrected formation energy (eV per atom): -1.22

abc: 4.3258 8.8709 9.9481
angles: 104.64 90.00 90.00
Last column: nearest neighbours and their distance in Å.
Element x y z (fractional)
1 Te 0.2500 0.0979 0.8859  1 Sc 2.89, 2 Tb 3.13
2 Te 0.2500 0.7401 0.4996  3 Sc 2.92-3.00, 1 Tb 3.24
3 Te 0.2500 0.5797 0.8364  3 Tb 3.08-3.15, 2 Pr 3.26
4 Te 0.7500 0.9021 0.1141  1 Sc 2.89, 2 Tb 3.13
5 Te 0.7500 0.2599 0.5004  3 Sc 2.92-3.00, 1 Tb 3.24
6 Te 0.7500 0.4203 0.1636  3 Tb 3.08-3.15, 2 Pr 3.26
7 Sc 0.2500 0.0892 0.5939  4 Te 2.89-3.00, 2 Sc 3.03
8 Sc 0.7500 0.9108 0.4061  4 Te 2.89-3.00, 2 Sc 3.03
9 Tb 0.7500 0.3324 0.8364  6 Te 3.08-3.24
10 Tb 0.2500 0.6676 0.1636  6 Te 3.08-3.24
11 Pr 0.2500 0.1766 0.2361  7 Te 3.25-3.38
12 Pr 0.7500 0.8234 0.7639  7 Te 3.25-3.38

[10]
Here is an optimized crystal structure of Tb2PrScTe4 from Alexandria. Energies are from PBE-GGA.

Calculated values
Uncorrected formation energy (eV per atom): -1.27

abc: 4.3220 7.6573 7.5470
angles: 108.88 90.00 90.00
Last column: nearest neighbours and their distance in Å.
Element x y z (fractional)
1 Pr 0.5000 0.5000 0.0000  6 Te 3.15
2 Sc 0.0000 0.0000 0.0000  6 Te 3.03
3 Tb 0.5000 0.0000 0.5000  6 Te 3.04
4 Tb 0.0000 0.5000 0.5000  6 Te 3.16
5 Te 0.5000 0.7645 0.7564  2 Sc 3.03, 3 Tb 3.04-3.16, 1 Pr 3.15
6 Te 0.0000 0.2364 0.7470  1 Sc 3.03, 3 Tb 3.04-3.16, 2 Pr 3.15
7 Te 0.5000 0.2355 0.2436  2 Sc 3.03, 3 Tb 3.04-3.16, 1 Pr 3.15
8 Te 0.0000 0.7636 0.2530  1 Sc 3.03, 3 Tb 3.04-3.16, 2 Pr 3.15